1.
This record from Alexandria via LeMat-Bulk describes an optimized crystal structure of Cs4TlHg3F12. The functional is PBE.

The space group is Im-3m (No. 229) and the conventional cell measures 9.3890, 9.3890 and 9.3890 Å, with angles of 90.00, 90.00 and 90.00 degrees. The inequivalent atoms are Cs at (0.2500, 0.2500, 0.2500), Tl at (0.0000, 0.0000, 0.0000), Hg at (0.0000, 0.0000, 0.5000), F at (0.0000, 0.0000, 0.2471) and F at (0.0000, 0.2500, 0.5000).

The calculation puts the calculated density at 6.3 g/cm³. The formation energy without anion corrections comes out at -2.0558 eV/atom.

---

2.
This record from Alexandria via LeMat-Bulk describes an optimized crystal structure of CsTl2HgF6. The functional is PBE.

The space group is P2_1/c (No. 14) and the conventional cell measures 6.7625, 6.7017 and 11.5447 Å, with angles of 90.00, 125.30 and 90.00 degrees. The inequivalent atoms are Cs at (0.0000, 0.0000, 0.0000), Tl at (0.2689, 0.0667, 0.7741), Hg at (0.5000, 0.0000, 0.5000), F at (0.1126, 0.1488, 0.3701), F at (0.3570, 0.6819, 0.4533) and F at (0.4738, 0.0967, 0.2824).

The calculation puts the calculated density at 6.7 g/cm³. The formation energy without anion corrections comes out at -1.8209 eV/atom.

---

3.
This record from Alexandria via LeMat-Bulk describes an optimized crystal structure of CsTlHg2F8. The functional is PBE.

The space group is P-1 (No. 2) and the conventional cell measures 4.4933, 5.7180 and 9.0303 Å, with angles of 85.07, 88.85 and 87.78 degrees. The inequivalent atoms are Cs at (0.0000, 0.0000, 0.0000), Tl at (0.0000, 0.0000, 0.5000), Hg at (0.4896, 0.5137, 0.7076), F at (0.0132, 0.2544, 0.6595), F at (0.0302, 0.2421, 0.2940), F at (0.4773, 0.7664, 0.5206) and F at (0.4905, 0.2996, 0.9014).

The calculation puts the calculated density at 6.4 g/cm³. The formation energy without anion corrections comes out at -1.7789 eV/atom.

---

4.
This record from Alexandria via LeMat-Bulk describes an optimized crystal structure of Cs2Tl2HgF6. The functional is PBE.

The space group is C2/m (No. 12) and the conventional cell measures 7.2797, 12.4138 and 6.6856 Å, with angles of 90.00, 105.27 and 90.00 degrees. The inequivalent atoms are Cs at (0.0000, 0.1566, 0.0000), Tl at (0.0000, 0.3482, 0.5000), Hg at (0.0000, 0.5000, 0.0000), F at (0.1761, 0.3620, 0.1914) and F at (0.1834, 0.5000, 0.7285).

The calculation puts the calculated density at 5.6 g/cm³. The formation energy without anion corrections comes out at -2.0059 eV/atom.

---

5.
This record from Alexandria via LeMat-Bulk describes an optimized crystal structure of CsTmHg2F8. The functional is PBE.

The space group is R-3 (No. 148, hexagonal axes) and the conventional cell measures 5.7746, 5.7746 and 25.0613 Å, with angles of 90.00, 90.00 and 120.00 degrees. The inequivalent atoms are Cs at (0.0000, 0.0000, 0.0000), Tm at (0.0000, 0.0000, 0.5000), Hg at (0.0000, 0.0000, 0.2507), F at (0.0000, 0.0000, 0.3358) and F at (0.0165, 0.3131, 0.5493).

The calculation puts the calculated density at 5.9 g/cm³. The formation energy without anion corrections comes out at -2.4728 eV/atom.

---

6.
This record from Alexandria via LeMat-Bulk describes an optimized crystal structure of CsUHgF6. The functional is PBE.

The space group is P1 (No. 1) and the conventional cell measures 5.6676, 6.6847 and 6.7369 Å, with angles of 61.29, 89.52 and 89.00 degrees. The inequivalent atoms are Cs at (0.0000, 0.0000, 0.0000), U at (0.5822, 0.6494, 0.6706), Hg at (0.2292, 0.3453, 0.3226), F at (0.2906, 0.4353, 0.7805), F at (0.4357, 0.8607, 0.7920), F at (0.4420, 0.8426, 0.3435), F at (0.7437, 0.4528, 0.9840), F at (0.7464, 0.4288, 0.5732) and F at (0.8787, 0.8572, 0.5628).

The calculation puts the calculated density at 5.1 g/cm³. The formation energy without anion corrections comes out at -3.0527 eV/atom.

---

Q: Which formula does entry 6 have?
A: CsUHgF6

---

Q: Which formula does entry 5 have?
A: CsTmHg2F8

---

Q: Among the records above, which one has the highest calculated density?
A: CsTl2HgF6